1.
The following is a DFT calculation (PBE-GGA) of a relaxed MgMnSe2Br crystal.

```
MgMnSe2Br
1.0
4.654 0.000 0.000
0.000 4.654 0.000
0.000 0.000 5.235
Mg Mn Se Br
1 1 2 1
Direct
0.000 0.000 0.000
0.500 0.500 0.500
0.000 0.500 0.500
0.500 0.000 0.500
0.500 0.500 0.000
```

Summary:
SG: P4/mmm (123)



2.
The following is a DFT calculation (PBE-GGA) of a relaxed CaTl2Si crystal.

```
CaTl2Si
1.0
4.780 0.000 0.000
0.000 3.903 0.000
-2.360 0.000 6.029
Ca Tl Si
1 2 1
Direct
0.000 0.000 0.000
0.291 0.000 0.577
0.701 0.500 0.393
0.461 0.500 0.922
```

Summary:
SG: Pm (6)



3.
The following is a DFT calculation (PBE-GGA) of a relaxed SnBSe crystal.

```
SnBSe
1.0
5.603 0.000 0.000
0.000 5.314 0.000
-2.363 0.000 8.494
Sn B Se
4 4 4
Direct
0.208 0.244 0.275
0.208 0.256 0.775
0.792 0.744 0.225
0.792 0.756 0.725
0.056 0.560 0.092
0.056 0.940 0.592
0.944 0.060 0.408
0.944 0.440 0.908
0.303 0.650 0.589
0.303 0.850 0.089
0.697 0.150 0.911
0.697 0.350 0.411
```

Summary:
SG: P2_1/c (14)



4.
The following is a DFT calculation (PBE-GGA) of a relaxed Zr2TaNbN crystal.

```
Zr2TaNbN
1.0
4.549 0.000 0.000
0.000 4.549 0.000
0.000 0.000 4.238
Zr Ta Nb N
2 1 1 1
Direct
0.000 0.500 0.000
0.500 0.000 0.000
0.000 0.000 0.500
0.500 0.500 0.500
0.500 0.500 0.000
```

Summary:
SG: P4/mmm (123)



5.
The following is a DFT calculation (PBE-GGA) of a relaxed Cd2SnBr crystal.

```
Cd2SnBr
1.0
7.572 0.000 0.000
0.000 7.572 0.000
0.000 0.000 7.572
Cd Sn Br
8 4 4
Direct
0.250 0.250 0.250
0.250 0.250 0.750
0.250 0.750 0.250
0.250 0.750 0.750
0.750 0.250 0.250
0.750 0.250 0.750
0.750 0.750 0.250
0.750 0.750 0.750
0.000 0.000 0.000
0.000 0.500 0.500
0.500 0.000 0.500
0.500 0.500 0.000
0.000 0.000 0.500
0.000 0.500 0.000
0.500 0.000 0.000
0.500 0.500 0.500
```

Summary:
SG: Fm-3m (225)



6.
The following is a DFT calculation (PBE-GGA) of a relaxed Li2Dy2TiS6 crystal.

```
Li2Dy2TiS6
1.0
3.317 -5.687 0.000
3.317 5.687 0.000
-1.936 0.000 6.167
Li Dy Ti S
2 2 1 6
Direct
0.151 0.849 0.000
0.849 0.151 0.000
0.333 0.667 0.500
0.667 0.333 0.500
0.000 0.000 0.500
0.068 0.377 0.737
0.231 0.231 0.265
0.377 0.068 0.737
0.623 0.932 0.263
0.769 0.769 0.735
0.932 0.623 0.263
```

Summary:
SG: C2/m (12)



| no. | E_form (uncorrected) (eV per atom) | M_tot (μB per formula unit) |
| --- | --- | --- |
| 1 | 0.003 | 0.00 |
| 2 | -0.056 | 0.00 |
| 3 | 0.033 | 0.00 |
| 4 | -0.540 | 0.00 |
| 5 | 0.086 | 0.00 |
| 6 | -1.649 | 0.00 |